(1)
Here is CdRe3Te at its PBEsol-relaxed geometry from the Alexandria database. Energies are from meta-GGA SCAN.

Output
SG: Pm-3m (221)
ΔE_f (raw), eV per atom: 2.45

a b c (Å): 4.790 4.790 4.790
angles (deg): 90.00 90.00 90.00
Fractional coordinates of all 5 atoms:
Cd1 0.000 0.000 0.000
Re1 0.000 0.500 0.500
Re2 0.500 0.000 0.500
Re3 0.500 0.500 0.000
Te1 0.500 0.500 0.500

(2)
Here is Li5SbP4O14 at its PBEsol-relaxed geometry from the Alexandria database. Energies are from meta-GGA SCAN.

Output
SG: P-1 (2)
ΔE_f (raw), eV per atom: -2.41

a b c (Å): 7.171 8.419 9.764
angles (deg): 76.75 75.71 68.99
Fractional coordinates of all 48 atoms:
Li1 0.037 0.456 0.134
Li2 0.252 0.734 0.897
Li3 0.334 0.191 0.287
Li4 0.347 0.234 0.625
Li5 0.435 0.482 0.357
Li6 0.565 0.518 0.643
Li7 0.653 0.766 0.375
Li8 0.666 0.809 0.713
Li9 0.748 0.266 0.103
Li10 0.963 0.544 0.866
Sb1 0.120 0.854 0.243
Sb2 0.880 0.146 0.757
P1 0.124 0.633 0.575
P2 0.163 0.142 0.962
P3 0.311 0.902 0.547
P4 0.419 0.338 0.948
P5 0.581 0.662 0.052
P6 0.689 0.098 0.453
P7 0.837 0.858 0.038
P8 0.876 0.367 0.425
O1 0.038 0.256 0.841
O2 0.067 0.209 0.103
O3 0.075 0.375 0.334
O4 0.133 0.815 0.599
O5 0.140 0.651 0.410
O6 0.205 0.952 0.969
O7 0.218 0.062 0.622
O8 0.232 0.495 0.928
O9 0.313 0.486 0.611
O10 0.351 0.939 0.384
O11 0.379 0.177 0.906
O12 0.392 0.649 0.169
O13 0.458 0.297 0.099
O14 0.498 0.769 0.601
O15 0.502 0.231 0.399
O16 0.542 0.703 0.901
O17 0.608 0.351 0.831
O18 0.621 0.823 0.094
O19 0.649 0.061 0.616
O20 0.687 0.514 0.389
O21 0.768 0.505 0.072
O22 0.782 0.938 0.378
O23 0.795 0.048 0.031
O24 0.860 0.349 0.590
O25 0.867 0.185 0.401
O26 0.925 0.625 0.666
O27 0.933 0.791 0.897
O28 0.962 0.744 0.159

(3)
Here is PH3W at its PBEsol-relaxed geometry from the Alexandria database. Energies are from meta-GGA SCAN.

Output
SG: Pm-3m (221)
DFT total energy, eV per atom: -17.24

a b c (Å): 3.487 3.487 3.487
angles (deg): 90.00 90.00 90.00
Fractional coordinates of all 5 atoms:
P1 0.000 0.000 0.000
H1 0.000 0.500 0.500
H2 0.500 0.000 0.500
H3 0.500 0.500 0.000
W1 0.500 0.500 0.500

(4)
Here is MoPtRh2 at its PBEsol-relaxed geometry from the Alexandria database. Energies are from meta-GGA SCAN.

Output
SG: Pmmm (47)
Energy of formation from the pure elements, kcal/mol of atoms: -5.16

a b c (Å): 2.708 3.829 5.476
angles (deg): 90.00 90.00 90.00
Fractional coordinates of all 4 atoms:
Mo1 0.000 0.000 0.000
Pt1 0.000 0.000 0.500
Rh1 0.500 0.500 0.244
Rh2 0.500 0.500 0.756

(5)
Here is CrTc2Ag at its PBEsol-relaxed geometry from the Alexandria database. Energies are from meta-GGA SCAN.

Output
SG: C2/m (12)
Energy of formation from the pure elements, kcal/mol of atoms: 10.41

a b c (Å): 9.163 2.778 4.583
angles (deg): 90.00 106.01 90.00
Fractional coordinates of all 8 atoms:
Cr1 0.000 0.000 0.000
Cr2 0.500 0.500 0.000
Tc1 0.227 0.500 0.222
Tc2 0.273 0.000 0.778
Tc3 0.727 0.000 0.222
Tc4 0.773 0.500 0.778
Ag1 0.000 0.500 0.500
Ag2 0.500 0.000 0.500

(6)
Here is BeCu3 at its PBEsol-relaxed geometry from the Alexandria database. Energies are from meta-GGA SCAN.

Output
SG: R-3m (166)
Energy of formation from the pure elements, kcal/mol of atoms: -0.82

a b c (Å): 2.492 2.492 23.529
angles (deg): 90.00 90.00 120.00
Fractional coordinates of all 12 atoms:
Be1 0.000 0.000 0.000
Be2 0.333 0.667 0.667
Be3 0.667 0.333 0.333
Cu1 0.000 0.000 0.256
Cu2 0.000 0.000 0.500
Cu3 0.000 0.000 0.744
Cu4 0.333 0.667 0.167
Cu5 0.333 0.667 0.411
Cu6 0.333 0.667 0.922
Cu7 0.667 0.333 0.078
Cu8 0.667 0.333 0.589
Cu9 0.667 0.333 0.833

(7)
Here is KBi2S2 at its PBEsol-relaxed geometry from the Alexandria database. Energies are from meta-GGA SCAN.

Output
SG: I4/mmm (139)
ΔE_f (raw), eV per atom: -0.32

a b c (Å): 5.496 5.496 9.817
angles (deg): 90.00 90.00 90.00
Fractional coordinates of all 10 atoms:
K1 0.000 0.000 0.000
K2 0.500 0.500 0.500
Bi1 0.000 0.000 0.341
Bi2 0.000 0.000 0.659
Bi3 0.500 0.500 0.159
Bi4 0.500 0.500 0.841
S1 0.000 0.500 0.250
S2 0.000 0.500 0.750
S3 0.500 0.000 0.250
S4 0.500 0.000 0.750

(8)
Here is Hf2PtSeBr at its PBEsol-relaxed geometry from the Alexandria database. Energies are from meta-GGA SCAN.

Output
SG: P4/mmm (123)
ΔE_f (raw), eV per atom: 0.17

a b c (Å): 5.058 5.058 4.967
angles (deg): 90.00 90.00 90.00
Fractional coordinates of all 5 atoms:
Hf1 0.000 0.500 0.000
Hf2 0.500 0.000 0.000
Pt1 0.000 0.000 0.000
Se1 0.000 0.000 0.500
Br1 0.500 0.500 0.500

(9)
Here is CuRuPt2 at its PBEsol-relaxed geometry from the Alexandria database. Energies are from meta-GGA SCAN.

Output
SG: Imm2 (44)
Energy of formation from the pure elements, kcal/mol of atoms: 3.26

a b c (Å): 2.703 4.552 9.029
angles (deg): 90.00 90.00 90.00
Fractional coordinates of all 8 atoms:
Cu1 0.000 0.000 0.000
Cu2 0.500 0.500 0.500
Ru1 0.000 0.500 0.739
Ru2 0.500 0.000 0.239
Pt1 0.000 0.000 0.493
Pt2 0.000 0.500 0.261
Pt3 0.500 0.000 0.761
Pt4 0.500 0.500 0.993

(10)
Here is ScAlN2 at its PBEsol-relaxed geometry from the Alexandria database. Energies are from meta-GGA SCAN.

Output
SG: R-3m (166)
ΔE_f (raw), eV per atom: -1.08

a b c (Å): 3.349 3.349 16.905
angles (deg): 90.00 90.00 120.00
Fractional coordinates of all 12 atoms:
Sc1 0.000 0.000 0.000
Sc2 0.333 0.667 0.667
Sc3 0.667 0.333 0.333
Al1 0.000 0.000 0.500
Al2 0.333 0.667 0.167
Al3 0.667 0.333 0.833
N1 0.000 0.000 0.398
N2 0.000 0.000 0.602
N3 0.333 0.667 0.064
N4 0.333 0.667 0.269
N5 0.667 0.333 0.731
N6 0.667 0.333 0.936

(11)
Here is CuAsO3 at its PBEsol-relaxed geometry from the Alexandria database. Energies are from meta-GGA SCAN.

Output
SG: Pmma (51)
ΔE_f (raw), eV per atom: -0.96

a b c (Å): 8.266 3.209 4.782
angles (deg): 90.00 90.00 90.00
Fractional coordinates of all 10 atoms:
Cu1 0.000 0.000 0.000
Cu2 0.500 0.000 0.000
As1 0.250 0.500 0.428
As2 0.750 0.500 0.572
O1 0.082 0.500 0.206
O2 0.250 0.000 0.612
O3 0.418 0.500 0.206
O4 0.582 0.500 0.794
O5 0.750 0.000 0.388
O6 0.918 0.500 0.794

(12)
Here is Ca2IrPt at its PBEsol-relaxed geometry from the Alexandria database. Energies are from meta-GGA SCAN.

Output
SG: P4mm (99)
Energy of formation from the pure elements, kcal/mol of atoms: -1.06

a b c (Å): 3.652 3.652 6.263
angles (deg): 90.00 90.00 90.00
Fractional coordinates of all 4 atoms:
Ca1 0.000 0.000 0.000
Ca2 0.500 0.500 0.362
Ir1 0.000 0.000 0.565
Pt1 0.500 0.500 0.802